# 1
A relaxed structure of NdSm12Er6, computed with PBE.

Computed properties:
Its density of states at the Fermi level is 1.70 states/eV per atom. The volume comes out at 637.0 Å³/cell. The distance to the lowest polymorph of the same formula is 0.000 eV per atom. The total energy comes out at -86.10 eV/cell. The crystal system is trigonal. As for the space-group type: R-3 (148).

abc: 8.6063 8.6063 8.6063
angles: 88.80 88.80 88.80
With the nearest neighbours (Å) after each atom.
Positions (direct):
Er: 0.3025 0.7414 0.9015  7 Sm 3.31-3.68, 1 Nd 3.49, 2 Er 3.52
Sm: 0.0152 0.1989 0.3614  4 Sm 3.44-3.61, 4 Er 3.52-3.68, 1 Nd 3.59
Sm: 0.7791 0.5381 0.4332  3 Er 3.31-3.47, 6 Sm 3.32-3.70
Er: 0.2586 0.0985 0.6975  7 Sm 3.31-3.68, 1 Nd 3.49, 2 Er 3.52
Sm: 0.4619 0.5668 0.2209  3 Er 3.31-3.47, 6 Sm 3.32-3.70
Sm: 0.6386 0.9848 0.8011  4 Sm 3.44-3.61, 4 Er 3.52-3.68, 1 Nd 3.59
Sm: 0.5381 0.4332 0.7791  3 Er 3.31-3.47, 6 Sm 3.32-3.70
Sm: 0.1989 0.3614 0.0152  4 Sm 3.44-3.61, 4 Er 3.52-3.68, 1 Nd 3.59
Nd: 0.0000 0.0000 0.0000  6 Er 3.49, 6 Sm 3.59
Sm: 0.3614 0.0152 0.1989  4 Sm 3.44-3.61, 4 Er 3.52-3.68, 1 Nd 3.59
Er: 0.9015 0.3025 0.7414  7 Sm 3.31-3.68, 1 Nd 3.49, 2 Er 3.52
Er: 0.0985 0.6975 0.2586  7 Sm 3.31-3.68, 1 Nd 3.49, 2 Er 3.52
Er: 0.7414 0.9015 0.3025  7 Sm 3.31-3.68, 1 Nd 3.49, 2 Er 3.52
Sm: 0.8011 0.6386 0.9848  4 Sm 3.44-3.61, 4 Er 3.52-3.68, 1 Nd 3.59
Sm: 0.4332 0.7791 0.5381  3 Er 3.31-3.47, 6 Sm 3.32-3.70
Sm: 0.5668 0.2209 0.4619  3 Er 3.31-3.47, 6 Sm 3.32-3.70
Er: 0.6975 0.2586 0.0985  7 Sm 3.31-3.68, 1 Nd 3.49, 2 Er 3.52
Sm: 0.2209 0.4619 0.5668  3 Er 3.31-3.47, 6 Sm 3.32-3.70
Sm: 0.9848 0.8011 0.6386  4 Sm 3.44-3.61, 4 Er 3.52-3.68, 1 Nd 3.59

# 2
A relaxed structure of Nd4Sm3Er2, computed with PBE.

Computed properties:
Its density of states at the Fermi level is 1.39 states/eV per atom. The volume comes out at 303.0 Å³/cell. The distance to the lowest polymorph of the same formula is 0.000 eV per atom. The total energy comes out at -42.21 eV/cell. The crystal system is triclinic. As for the space-group type: P-1 (2).

abc: 6.2736 6.2771 13.0522
angles: 118.65 103.85 120.03
With the nearest neighbours (Å) after each atom.
Positions (direct):
Nd: 0.8881 0.7766 0.6656  4 Er 3.60-3.63, 3 Nd 3.61-3.64, 5 Sm 3.62-3.63
Er: 0.2197 0.4404 0.6648  1 Er 3.60, 6 Nd 3.60-3.64, 5 Sm 3.60-3.64
Nd: 0.6659 0.3311 0.9999  5 Nd 3.60-3.64, 5 Sm 3.62-3.64, 2 Er 3.63-3.64
Nd: 0.3342 0.6689 0.0001  5 Nd 3.60-3.64, 5 Sm 3.62-3.64, 2 Er 3.63-3.64
Sm: 0.4467 0.8905 0.3351  2 Sm 3.59-3.64, 4 Er 3.60-3.64, 6 Nd 3.62-3.64
Er: 0.7803 0.5596 0.3352  1 Er 3.60, 6 Nd 3.60-3.64, 5 Sm 3.60-3.64
Nd: 0.1119 0.2234 0.3344  4 Er 3.60-3.63, 3 Nd 3.61-3.64, 5 Sm 3.62-3.63
Sm: 0.5533 0.1095 0.6649  2 Sm 3.59-3.64, 4 Er 3.60-3.64, 6 Nd 3.62-3.64
Sm: 0.0000 0.0000 0.0000  8 Nd 3.62-3.63, 2 Sm 3.64, 2 Er 3.64

# 3
A relaxed structure of NdSm6Er12, computed with PBE.

Computed properties:
Its density of states at the Fermi level is 1.31 states/eV per atom. The volume comes out at 602.0 Å³/cell. The distance to the lowest polymorph of the same formula is 0.000 eV per atom. The total energy comes out at -87.47 eV/cell. The crystal system is trigonal. As for the space-group type: R-3 (148).

abc: 8.7028 9.3965 9.3965
angles: 69.08 72.02 107.98
With the nearest neighbours (Å) after each atom.
Positions (direct):
Sm: 0.9462 0.3151 0.4757  9 Er 3.54-3.57, 3 Sm 3.54-3.57
Er: 0.2629 0.4205 0.6316  5 Sm 3.55-3.57, 6 Er 3.55-3.56, 1 Nd 3.55
Sm: 0.3690 0.7908 0.6849  9 Er 3.54-3.57, 3 Sm 3.54-3.57
Er: 0.7371 0.5795 0.3684  5 Sm 3.55-3.57, 6 Er 3.55-3.56, 1 Nd 3.55
Er: 0.1575 0.0521 0.5795  5 Sm 3.55-3.57, 6 Er 3.55-3.56, 1 Nd 3.55
Er: 0.5260 0.8418 0.2629  4 Sm 3.54-3.57, 7 Er 3.55-3.56, 1 Nd 3.55
Er: 0.8425 0.9479 0.4205  5 Sm 3.55-3.57, 6 Er 3.55-3.56, 1 Nd 3.55
Er: 0.7889 0.2629 0.8953  4 Sm 3.54-3.57, 7 Er 3.55-3.56, 1 Nd 3.55
Er: 0.3158 0.1047 0.1582  4 Sm 3.54-3.57, 7 Er 3.55-3.56, 1 Nd 3.55
Er: 0.2111 0.7371 0.1047  4 Sm 3.54-3.57, 7 Er 3.55-3.56, 1 Nd 3.55
Er: 0.6842 0.8953 0.8418  4 Sm 3.54-3.57, 7 Er 3.55-3.56, 1 Nd 3.55
Nd: 0.0000 0.0000 0.0000  12 Er 3.55
Sm: 0.4218 0.4757 0.2092  9 Er 3.54-3.57, 3 Sm 3.54-3.57
Sm: 0.5782 0.5243 0.7908  9 Er 3.54-3.57, 3 Sm 3.54-3.57
Er: 0.1055 0.3684 0.0521  5 Sm 3.55-3.57, 6 Er 3.55-3.56, 1 Nd 3.55
Sm: 0.0538 0.6849 0.5243  9 Er 3.54-3.57, 3 Sm 3.54-3.57
Sm: 0.6310 0.2092 0.3151  9 Er 3.54-3.57, 3 Sm 3.54-3.57
Er: 0.4740 0.1582 0.7371  4 Sm 3.54-3.57, 7 Er 3.55-3.56, 1 Nd 3.55
Er: 0.8945 0.6316 0.9479  5 Sm 3.55-3.57, 6 Er 3.55-3.56, 1 Nd 3.55

# 4
A relaxed structure of Nd4Sm5Er4, computed with PBE.

Computed properties:
Its density of states at the Fermi level is 1.40 states/eV per atom. The volume comes out at 431.5 Å³/cell. The total energy comes out at -60.69 eV/cell. The crystal system is tetragonal. As for the space-group type: I4/m (87).

abc: 5.0878 9.5543 9.5543
angles: 85.93 74.56 74.56
With the nearest neighbours (Å) after each atom.
Positions (direct):
Sm: 0.4600 0.2308 0.8492  5 Er 3.59-3.63, 4 Sm 3.59, 3 Nd 3.60-3.65
Nd: 0.3823 0.6952 0.5402  4 Er 3.58-3.60, 3 Sm 3.60-3.65, 5 Nd 3.63-3.67
Nd: 0.6177 0.3048 0.4598  4 Er 3.58-3.60, 3 Sm 3.60-3.65, 5 Nd 3.63-3.67
Sm: 0.6908 0.8492 0.7692  5 Er 3.59-3.63, 4 Sm 3.59, 3 Nd 3.60-3.65
Nd: 0.9225 0.4598 0.6952  4 Er 3.58-3.60, 3 Sm 3.60-3.65, 5 Nd 3.63-3.67
Sm: 0.3092 0.1508 0.2308  5 Er 3.59-3.63, 4 Sm 3.59, 3 Nd 3.60-3.65
Er: 0.2310 0.6148 0.9231  4 Nd 3.58-3.60, 6 Sm 3.59-3.63, 2 Er 3.60
Er: 0.7690 0.3852 0.0769  4 Nd 3.58-3.60, 6 Sm 3.59-3.63, 2 Er 3.60
Er: 0.8458 0.9231 0.3852  4 Nd 3.58-3.60, 6 Sm 3.59-3.63, 2 Er 3.60
Nd: 0.0775 0.5402 0.3048  4 Er 3.58-3.60, 3 Sm 3.60-3.65, 5 Nd 3.63-3.67
Sm: 0.0000 0.0000 0.0000  8 Sm 3.59, 4 Er 3.62
Er: 0.1542 0.0769 0.6148  4 Nd 3.58-3.60, 6 Sm 3.59-3.63, 2 Er 3.60
Sm: 0.5400 0.7692 0.1508  5 Er 3.59-3.63, 4 Sm 3.59, 3 Nd 3.60-3.65

# 5
A relaxed structure of Nd2Sm2Er3, computed with PBE.

Computed properties:
Its density of states at the Fermi level is 1.66 states/eV per atom. The volume comes out at 232.6 Å³/cell. The distance to the lowest polymorph of the same formula is 0.014 eV per atom. The total energy comes out at -31.73 eV/cell. The crystal system is monoclinic. As for the space-group type: C2/m (12).

abc: 3.5072 8.7823 8.6223
angles: 115.94 101.73 90.00
With the nearest neighbours (Å) after each atom.
Positions (direct):
Nd: 0.0800 0.2043 0.1601  3 Nd 3.39-3.51, 4 Er 3.42-3.52, 2 Sm 3.64
Sm: 0.6391 0.9068 0.2783  4 Sm 3.51-3.78, 5 Er 3.58-3.72, 4 Nd 3.64-3.81
Nd: 0.9200 0.7957 0.8399  3 Nd 3.39-3.51, 4 Er 3.42-3.52, 2 Sm 3.64
Er: 0.2203 0.6445 0.4405  5 Er 3.35-3.58, 3 Nd 3.49-3.52, 3 Sm 3.58-3.62
Er: 0.0000 0.5000 0.0000  4 Er 3.35-3.51, 2 Nd 3.42, 4 Sm 3.72
Er: 0.7797 0.3555 0.5595  5 Er 3.35-3.58, 3 Nd 3.49-3.52, 3 Sm 3.58-3.62
Sm: 0.3609 0.0932 0.7217  4 Sm 3.51-3.78, 5 Er 3.58-3.72, 4 Nd 3.64-3.81

# 6
A relaxed structure of Nd3Sm6Er, computed with PBE.

Computed properties:
Its density of states at the Fermi level is 1.74 states/eV per atom. The volume comes out at 349.9 Å³/cell. The distance to the lowest polymorph of the same formula is 0.124 eV per atom. The total energy comes out at -44.54 eV/cell. The crystal system is monoclinic. As for the space-group type: C2/m (12).

abc: 6.9633 13.0067 6.7819
angles: 129.93 120.89 90.00
With the nearest neighbours (Å) after each atom.
Positions (direct):
Sm: 0.2880 0.3146 0.1172  4 Sm 3.19-3.46, 2 Nd 3.24-3.58, 1 Er 3.51
Er: 0.5000 0.5000 0.0000  4 Sm 3.51, 4 Nd 3.82
Sm: 0.1708 0.6854 0.8828  4 Sm 3.19-3.46, 2 Nd 3.24-3.58, 1 Er 3.51
Sm: 0.6697 0.0061 0.3395  2 Nd 3.32-3.68, 4 Sm 3.38-3.46
Sm: 0.7120 0.6854 0.8828  4 Sm 3.19-3.46, 2 Nd 3.24-3.58, 1 Er 3.51
Sm: 0.3303 0.9939 0.6605  2 Nd 3.32-3.68, 4 Sm 3.38-3.46
Nd: 0.8047 0.3390 0.6093  1 Nd 3.12, 3 Sm 3.24-3.32
Nd: 0.1953 0.6610 0.3907  1 Nd 3.12, 3 Sm 3.24-3.32
Sm: 0.8292 0.3146 0.1172  4 Sm 3.19-3.46, 2 Nd 3.24-3.58, 1 Er 3.51
Nd: 0.0000 0.0000 0.0000  10 Sm 3.90-3.97

# 7
A relaxed structure of Nd12SmEr6, computed with PBE.

Computed properties:
Its density of states at the Fermi level is 1.69 states/eV per atom. The volume comes out at 652.9 Å³/cell. The distance to the lowest polymorph of the same formula is 0.000 eV per atom. The total energy comes out at -86.82 eV/cell. The crystal system is trigonal. As for the space-group type: R-3 (148).

abc: 8.6769 8.6769 8.6769
angles: 88.85 88.85 88.85
With the nearest neighbours (Å) after each atom.
Positions (direct):
Nd: 0.0177 0.1950 0.3634  4 Nd 3.47-3.64, 4 Er 3.54-3.71, 1 Sm 3.62
Nd: 0.6366 0.9823 0.8050  4 Nd 3.47-3.64, 4 Er 3.54-3.71, 1 Sm 3.62
Nd: 0.4640 0.5667 0.2183  4 Nd 3.36-3.62, 3 Er 3.36-3.51
Er: 0.0999 0.7025 0.2585  7 Nd 3.36-3.71, 1 Sm 3.49, 2 Er 3.53
Er: 0.2585 0.0999 0.7025  7 Nd 3.36-3.71, 1 Sm 3.49, 2 Er 3.53
Nd: 0.2183 0.4640 0.5667  4 Nd 3.36-3.62, 3 Er 3.36-3.51
Nd: 0.7817 0.5360 0.4333  4 Nd 3.36-3.62, 3 Er 3.36-3.51
Nd: 0.5667 0.2183 0.4640  4 Nd 3.36-3.62, 3 Er 3.36-3.51
Nd: 0.9823 0.8050 0.6366  4 Nd 3.47-3.64, 4 Er 3.54-3.71, 1 Sm 3.62
Er: 0.7025 0.2585 0.0999  7 Nd 3.36-3.71, 1 Sm 3.49, 2 Er 3.53
Er: 0.9001 0.2975 0.7415  7 Nd 3.36-3.71, 1 Sm 3.49, 2 Er 3.53
Sm: 0.0000 0.0000 0.0000  6 Er 3.49, 6 Nd 3.62
Er: 0.7415 0.9001 0.2975  7 Nd 3.36-3.71, 1 Sm 3.49, 2 Er 3.53
Nd: 0.5360 0.4333 0.7817  4 Nd 3.36-3.62, 3 Er 3.36-3.51
Er: 0.2975 0.7415 0.9001  7 Nd 3.36-3.71, 1 Sm 3.49, 2 Er 3.53
Nd: 0.8050 0.6366 0.9823  4 Nd 3.47-3.64, 4 Er 3.54-3.71, 1 Sm 3.62
Nd: 0.4333 0.7817 0.5360  4 Nd 3.36-3.62, 3 Er 3.36-3.51
Nd: 0.1950 0.3634 0.0177  4 Nd 3.47-3.64, 4 Er 3.54-3.71, 1 Sm 3.62
Nd: 0.3634 0.0177 0.1950  4 Nd 3.47-3.64, 4 Er 3.54-3.71, 1 Sm 3.62

# 8
A relaxed structure of Nd2SmEr8, computed with PBE.

Computed properties:
Its density of states at the Fermi level is 1.39 states/eV per atom. The volume comes out at 356.0 Å³/cell. The distance to the lowest polymorph of the same formula is 0.000 eV per atom. The total energy comes out at -49.00 eV/cell. The crystal system is monoclinic. As for the space-group type: C2/m (12).

abc: 5.8783 9.0278 9.1845
angles: 60.56 74.47 57.00
With the nearest neighbours (Å) after each atom.
Positions (direct):
Er: 0.1736 0.6690 0.2329  4 Er 3.22-3.58, 2 Nd 3.45-3.47
Er: 0.1736 0.9019 0.7671  4 Er 3.22-3.58, 2 Nd 3.45-3.47
Er: 0.8264 0.0981 0.2329  4 Er 3.22-3.58, 2 Nd 3.45-3.47
Nd: 0.0000 0.3064 0.3872  8 Er 3.33-3.47
Er: 0.8264 0.3310 0.7671  4 Er 3.22-3.58, 2 Nd 3.45-3.47
Nd: 0.0000 0.6936 0.6128  8 Er 3.33-3.47
Er: 0.7042 0.5699 0.0000  4 Er 2.98-3.26
Er: 0.2958 0.4301 0.0000  4 Er 2.98-3.26
Er: 0.5000 0.2082 0.5836  1 Sm 3.33, 2 Nd 3.33, 6 Er 3.58-3.69
Er: 0.5000 0.7918 0.4164  1 Sm 3.33, 2 Nd 3.33, 6 Er 3.58-3.69
Sm: 0.5000 0.0000 0.0000  4 Er 3.33-3.38